Below is a relaxed structure of PaSi2Ir2Pd, with properties calculated at the PBE-GGA level.

Properties
Raw formation energy (eV per formula unit): -5.1
Total energy (Ry per atom): -0.59207
Crystal system: trigonal
Size of the total moment (μB/atom): 0.0000

Unit cell a=4.1876 b=4.1876 c=6.5694 alpha=90.00 beta=90.00 gamma=120.00
With the nearest neighbours (Å) after each atom.
Space group P-3m1 (No. 164)
One atom of each set of equivalent atoms:
Pa1 0.0000 0.0000 0.0000 [1 per cell]  6 Ir 3.02, 6 Si 3.21, 2 Pd 3.28
Si1 0.3333 0.6667 0.3203 [2 per cell]  4 Ir 2.44-2.66, 3 Pd 2.69
Ir1 0.3333 0.6667 0.7256 [2 per cell]  4 Si 2.44-2.66
Pd1 0.0000 0.0000 0.5000 [1 per cell]  6 Si 2.69, 6 Ir 2.84